Record 1
YTlP2: optimized geometry, PBE-GGA.

Cell: 5.1925 5.1925 5.1925 Å, 127.58 127.20 77.61°
Element x y z (fractional)
1 Y 0.0000 0.0000 0.0000
2 Tl 0.5000 0.5000 0.0000
3 P 0.2496 0.7496 0.5000
4 P 0.7504 0.2504 0.5000

- ΔE to the lowest computed polymorph: 0.3381 eV/atom
- E_form: -0.26 eV/atom
- Calculated total energy: -5.17 eV/atom
- Mass density: 6.88 g/cm³



Record 2
AcNd6In3: optimized geometry, PBE-GGA.

Cell: 8.7844 8.7844 8.9401 Å, 90.00 90.00 94.46°
Element x y z (fractional)
1 Ac 0.1874 0.8126 0.5000
2 Ac 0.8126 0.1874 0.0000
3 Nd 0.0728 0.4268 0.7017
4 Nd 0.1102 0.2427 0.3469
5 Nd 0.2427 0.1102 0.8469
6 Nd 0.2595 0.7405 0.9243
7 Nd 0.4268 0.0728 0.2017
8 Nd 0.4760 0.5240 0.3025
9 Nd 0.5240 0.4760 0.8025
10 Nd 0.5732 0.9272 0.7017
11 Nd 0.7405 0.2595 0.4243
12 Nd 0.7573 0.8898 0.3469
13 Nd 0.8898 0.7573 0.8469
14 Nd 0.9272 0.5732 0.2017
15 In 0.0653 0.9347 0.1461
16 In 0.2216 0.3998 0.0450
17 In 0.3998 0.2216 0.5450
18 In 0.6002 0.7784 0.0450
19 In 0.7784 0.6002 0.5450
20 In 0.9347 0.0653 0.6461

- E_form: -0.22 eV/atom
- Calculated total energy: -4.31 eV/atom
- Mass density: 6.94 g/cm³



Record 3
Ac6Pr2Ho: optimized geometry, PBE-GGA.

Cell: 10.6675 10.6675 6.9566 Å, 97.69 97.69 76.92°
Element x y z (fractional)
1 Ac 0.0592 0.5609 0.2639
2 Ac 0.1099 0.8289 0.9842
3 Ac 0.1711 0.8901 0.5158
4 Ac 0.2841 0.4910 0.7387
5 Ac 0.4391 0.9408 0.2361
6 Ac 0.4910 0.2841 0.2387
7 Ac 0.5090 0.7159 0.7613
8 Ac 0.5609 0.0592 0.7639
9 Ac 0.7159 0.5090 0.2613
10 Ac 0.8289 0.1099 0.4842
11 Ac 0.8901 0.1711 0.0158
12 Ac 0.9408 0.4391 0.7361
13 Pr 0.1659 0.2241 0.3903
14 Pr 0.2241 0.1659 0.8903
15 Pr 0.7759 0.8341 0.1097
16 Pr 0.8341 0.7759 0.6097
17 Ho 0.3727 0.6273 0.2500
18 Ho 0.6273 0.3727 0.7500

- E_form: 0.16 eV/atom
- Calculated total energy: -4.15 eV/atom
- Mass density: 7.91 g/cm³



Record 4
HRh3Au: optimized geometry, PBE-GGA.

Cell: 4.9442 4.9442 4.9442 Å, 90.00 90.00 90.00°
Element x y z (fractional)
1 H 0.0000 0.0000 0.0000
2 Rh 0.0000 0.5000 0.5000
3 Rh 0.5000 0.0000 0.5000
4 Rh 0.5000 0.5000 0.0000
5 Au 0.5000 0.5000 0.5000

- ΔE to the lowest computed polymorph: 2.0554 eV/atom
- Calculated total energy: -3.56 eV/atom
- Mass density: 6.96 g/cm³



Record 5
LaEr2Sn: optimized geometry, PBE-GGA.

Cell: 6.3950 6.3950 6.3950 Å, 47.71 47.71 47.71°
Element x y z (fractional)
1 La 0.0000 0.0000 0.0000
2 Er 0.5531 0.5531 0.5531
3 Er 0.7836 0.7836 0.7836
4 Sn 0.2034 0.2034 0.2034

- ΔE to the lowest computed polymorph: 0.2708 eV/atom
- E_form: -0.17 eV/atom
- Calculated total energy: -4.69 eV/atom
- Mass density: 7.50 g/cm³



Record 6
Dy7Ho4Pu: optimized geometry, PBE-GGA.

Cell: 8.6390 8.6390 9.3440 Å, 118.47 118.47 39.27°
Element x y z (fractional)
1 Dy 0.0000 0.0000 0.0000
2 Dy 0.2080 0.2080 0.8829
3 Dy 0.3334 0.3334 0.6606
4 Dy 0.4383 0.4383 0.2812
5 Dy 0.5617 0.5617 0.7188
6 Dy 0.6666 0.6666 0.3394
7 Dy 0.7920 0.7920 0.1171
8 Ho 0.0902 0.0902 0.4545
9 Ho 0.2371 0.2371 0.2662
10 Ho 0.7629 0.7629 0.7338
11 Ho 0.9098 0.9098 0.5455
12 Pu 0.5000 0.5000 0.0000

- E_form: 0.25 eV/atom
- Calculated total energy: -5.15 eV/atom
- Mass density: 8.90 g/cm³